A plane-wave DFT calculation with PBE was carried out for a relaxed structure of PrCuNiHg.

```
data_PrCuNiHg
_chemical_formula_sum 'Pr4 Cu4 Ni4 Hg4'
_space_group_name_H-M_alt 'F -4 3 m'
_space_group_IT_number 216
_space_group_name_Hall 'F -4 2 3'
_cell_length_a 6.762
_cell_length_b 6.762
_cell_length_c 6.762
_cell_angle_alpha 90.00
_cell_angle_beta 90.00
_cell_angle_gamma 90.00
loop_
_atom_site_label
_atom_site_type_symbol
_atom_site_fract_x
_atom_site_fract_y
_atom_site_fract_z
Pr1 Pr 0.000 0.000 0.000
Cu1 Cu 0.250 0.250 0.250
Ni1 Ni 0.250 0.250 0.750
Hg1 Hg 0.000 0.000 0.500
```

## Properties
Electronic total energy = -3.858 eV per atom
Magnetization = 0.00 Bohr magnetons per cell
Density = 9963 kg/m³
Fermi-level density of states = 0.88 states/eV/atom
Formation energy = -0.118 eV/atom

***

A plane-wave DFT calculation with PBE was carried out for a relaxed structure of PuCuNiHg.

```
data_PuCuNiHg
_chemical_formula_sum 'Pu4 Cu4 Ni4 Hg4'
_space_group_name_H-M_alt 'F -4 3 m'
_space_group_IT_number 216
_space_group_name_Hall 'F -4 2 3'
_cell_length_a 6.647
_cell_length_b 6.647
_cell_length_c 6.647
_cell_angle_alpha 90.00
_cell_angle_beta 90.00
_cell_angle_gamma 90.00
loop_
_atom_site_label
_atom_site_type_symbol
_atom_site_fract_x
_atom_site_fract_y
_atom_site_fract_z
Pu1 Pu 0.000 0.000 0.000
Cu1 Cu 0.250 0.250 0.250
Ni1 Ni 0.250 0.250 0.750
Hg1 Hg 0.000 0.000 0.500
```

## Properties
Electronic total energy = -6.053 eV per atom
Magnetization = 20.87 Bohr magnetons per cell
Density = 12821 kg/m³
Fermi-level density of states = 3.36 states/eV/atom
Formation energy = 0.074 eV/atom

***

A plane-wave DFT calculation with PBE was carried out for a relaxed structure of CuNiHgRh.

```
data_CuNiHgRh
_chemical_formula_sum 'Cu4 Ni4 Hg4 Rh4'
_space_group_name_H-M_alt 'F -4 3 m'
_space_group_IT_number 216
_space_group_name_Hall 'F -4 2 3'
_cell_length_a 6.136
_cell_length_b 6.136
_cell_length_c 6.136
_cell_angle_alpha 90.00
_cell_angle_beta 90.00
_cell_angle_gamma 90.00
loop_
_atom_site_label
_atom_site_type_symbol
_atom_site_fract_x
_atom_site_fract_y
_atom_site_fract_z
Cu1 Cu 0.000 0.000 0.000
Ni1 Ni 0.000 0.000 0.500
Hg1 Hg 0.250 0.250 0.250
Rh1 Rh 0.250 0.250 0.750
```

## Properties
Electronic total energy = -4.184 eV per atom
Magnetization = 2.70 Bohr magnetons per cell
Density = 12242 kg/m³
Fermi-level density of states = 1.55 states/eV/atom
Formation energy = 0.199 eV/atom

***

A plane-wave DFT calculation with PBE was carried out for a relaxed structure of Cu3NiHgSe4.

```
data_Cu3NiHgSe4
_chemical_formula_sum 'Cu3 Ni1 Hg1 Se4'
_space_group_name_H-M_alt 'P -4 3 m'
_space_group_IT_number 215
_space_group_name_Hall 'P -4 2 3'
_cell_length_a 5.829
_cell_length_b 5.829
_cell_length_c 5.829
_cell_angle_alpha 90.00
_cell_angle_beta 90.00
_cell_angle_gamma 90.00
loop_
_atom_site_label
_atom_site_type_symbol
_atom_site_fract_x
_atom_site_fract_y
_atom_site_fract_z
Cu1 Cu 0.000 0.000 0.500
Ni1 Ni 0.000 0.000 0.000
Hg1 Hg 0.500 0.500 0.500
Se1 Se 0.231 0.231 0.231
```

## Properties
Electronic total energy = -3.703 eV per atom
Magnetization = 0.00 Bohr magnetons per cell
Density = 6420 kg/m³
Fermi-level density of states = 0.64 states/eV/atom
E_form (uncorrected) = -0.1132 eV per atom

***

A plane-wave DFT calculation with PBE was carried out for a relaxed structure of Sm2Cu12Ni3Hg.

```
data_Sm2Cu12Ni3Hg
_chemical_formula_sum 'Sm6 Cu36 Ni9 Hg3'
_space_group_name_H-M_alt 'R -3 m'
_space_group_IT_number 166
_space_group_name_Hall '-R 3 2"'
_cell_length_a 8.6285
_cell_length_b 8.6285
_cell_length_c 12.3869
_cell_angle_alpha 90.00
_cell_angle_beta 90.00
_cell_angle_gamma 120.00
loop_
_atom_site_label
_atom_site_type_symbol
_atom_site_fract_x
_atom_site_fract_y
_atom_site_fract_z
Sm1 Sm 0.0000 0.0000 0.2445
Cu1 Cu 0.0015 0.5007 0.2053
Cu2 Cu 0.0469 0.5234 0.6016
Ni1 Ni 0.0000 0.5000 0.0000
Hg1 Hg 0.0000 0.0000 0.5000
```

## Properties
Electronic total energy = -4.140 eV per atom
Magnetization = 0.00 Bohr magnetons per cell
Density = 8982 kg/m³
Fermi-level density of states = 0.44 states/eV/atom
Formation energy = 0.095 eV/atom

***

A plane-wave DFT calculation with PBE was carried out for a relaxed structure of Th2Cu12Ni3Hg.

```
data_Th2Cu12Ni3Hg
_chemical_formula_sum 'Th6 Cu36 Ni9 Hg3'
_space_group_name_H-M_alt 'R -3 m'
_space_group_IT_number 166
_space_group_name_Hall '-R 3 2"'
_cell_length_a 7.9410
_cell_length_b 7.9410
_cell_length_c 17.7356
_cell_angle_alpha 90.00
_cell_angle_beta 90.00
_cell_angle_gamma 120.00
loop_
_atom_site_label
_atom_site_type_symbol
_atom_site_fract_x
_atom_site_fract_y
_atom_site_fract_z
Th1 Th 0.0000 0.0000 0.1064
Cu1 Cu 0.0211 0.5105 0.3679
Cu2 Cu 0.0238 0.5119 0.8715
Ni1 Ni 0.0000 0.5000 0.0000
Hg1 Hg 0.0000 0.0000 0.5000
```

## Properties
Electronic total energy = -4.042 eV per atom
Magnetization = 0.00 Bohr magnetons per cell
Density = 8246 kg/m³
Fermi-level density of states = 0.59 states/eV/atom
Formation energy = 0.494 eV/atom

***

> Among the records above, which one has the highest magnetization?

PuCuNiHg

***

What did the sixth record say?
A plane-wave DFT calculation with PBE was carried out for a relaxed structure of Th2Cu12Ni3Hg.

```
data_Th2Cu12Ni3Hg
_chemical_formula_sum 'Th6 Cu36 Ni9 Hg3'
_space_group_name_H-M_alt 'R -3 m'
_space_group_IT_number 166
_space_group_name_Hall '-R 3 2"'
_cell_length_a 7.9410
_cell_length_b 7.9410
_cell_length_c 17.7356
_cell_angle_alpha 90.00
_cell_angle_beta 90.00
_cell_angle_gamma 120.00
loop_
_atom_site_label
_atom_site_type_symbol
_atom_site_fract_x
_atom_site_fract_y
_atom_site_fract_z
Th1 Th 0.0000 0.0000 0.1064
Cu1 Cu 0.0211 0.5105 0.3679
Cu2 Cu 0.0238 0.5119 0.8715
Ni1 Ni 0.0000 0.5000 0.0000
Hg1 Hg 0.0000 0.0000 0.5000
```

## Properties
Electronic total energy = -4.042 eV per atom
Magnetization = 0.00 Bohr magnetons per cell
Density = 8246 kg/m³
Fermi-level density of states = 0.59 states/eV/atom
Formation energy = 0.494 eV/atom

***

> magnetization of number 2 (PuCuNiHg)?

20.87 Bohr magnetons per cell

***

What did the second record say?
A plane-wave DFT calculation with PBE was carried out for a relaxed structure of PuCuNiHg.

```
data_PuCuNiHg
_chemical_formula_sum 'Pu4 Cu4 Ni4 Hg4'
_space_group_name_H-M_alt 'F -4 3 m'
_space_group_IT_number 216
_space_group_name_Hall 'F -4 2 3'
_cell_length_a 6.647
_cell_length_b 6.647
_cell_length_c 6.647
_cell_angle_alpha 90.00
_cell_angle_beta 90.00
_cell_angle_gamma 90.00
loop_
_atom_site_label
_atom_site_type_symbol
_atom_site_fract_x
_atom_site_fract_y
_atom_site_fract_z
Pu1 Pu 0.000 0.000 0.000
Cu1 Cu 0.250 0.250 0.250
Ni1 Ni 0.250 0.250 0.750
Hg1 Hg 0.000 0.000 0.500
```

## Properties
Electronic total energy = -6.053 eV per atom
Magnetization = 20.87 Bohr magnetons per cell
Density = 12821 kg/m³
Fermi-level density of states = 3.36 states/eV/atom
Formation energy = 0.074 eV/atom